# 1
# ZrTlCl2 PBE optimized geometry
# formation energy from raw total energies	-0.912	eV per atom
# distance to the lowest polymorph of the same formula	166	meV/atom
data_ZrTlCl2
_cell_length_a 3.2214
_cell_length_b 6.3970
_cell_length_c 10.2771
_cell_angle_alpha 90.00
_cell_angle_beta 90.00
_cell_angle_gamma 90.00
_space_group_name_H-M_alt 'C m m m'
_space_group_IT_number 65
_space_group_name_Hall '-C 2 2'
loop_
_atom_site_label
_atom_site_fract_x
_atom_site_fract_y
_atom_site_fract_z
Zr1 0.0000 0.0000 0.0000
Tl1 0.0000 0.0000 0.5000
Cl1 0.0000 0.5000 0.1976


# 2
# CaMgSc2Al PBE optimized geometry
# ΔE_f	0.341	eV/atom
data_CaMgSc2Al
_cell_length_a 5.2815
_cell_length_b 5.2815
_cell_length_c 5.6593
_cell_angle_alpha 90.00
_cell_angle_beta 90.00
_cell_angle_gamma 90.00
_space_group_name_H-M_alt 'P 4/m m m'
_space_group_IT_number 123
_space_group_name_Hall '-P 4 2'
loop_
_atom_site_label
_atom_site_fract_x
_atom_site_fract_y
_atom_site_fract_z
Ca1 0.0000 0.0000 0.0000
Mg1 0.5000 0.5000 0.0000
Sc1 0.0000 0.5000 0.5000
Al1 0.0000 0.0000 0.5000


# 3
# CsIn6Hg6 PBE optimized geometry
# distance to the lowest polymorph of the same formula	175	meV/atom
# ΔE_f	0.135	eV/atom
data_CsIn6Hg6
_cell_length_a 8.1843
_cell_length_b 8.1843
_cell_length_c 8.1843
_cell_angle_alpha 90.00
_cell_angle_beta 90.00
_cell_angle_gamma 90.00
_space_group_name_H-M_alt 'P m -3'
_space_group_IT_number 200
_space_group_name_Hall '-P 2 2 3'
loop_
_atom_site_label
_atom_site_fract_x
_atom_site_fract_y
_atom_site_fract_z
Cs1 0.0000 0.0000 0.0000
In1 0.0000 0.5000 0.2495
Hg1 0.0000 0.2512 0.5000


no.,V (Å³/f.u.)
1,106
2,158
3,548